Compound: Ti11Co4Cu9
Source: Alexandria
Functional: PBE-GGA
Structure: optimized geometry

Cell: 11.245 11.245 2.900 Å, 90.00 90.00 113.39°
Sites, in units of the cell vectors:
1 Ti 0.000 0.000 0.000
2 Ti 0.065 0.407 0.000
3 Ti 0.161 0.839 0.000
4 Ti 0.299 0.299 0.000
5 Ti 0.370 0.630 0.000
6 Ti 0.407 0.065 0.000
7 Ti 0.593 0.935 0.000
8 Ti 0.630 0.370 0.000
9 Ti 0.701 0.701 0.000
10 Ti 0.839 0.161 0.000
11 Ti 0.935 0.593 0.000
12 Co 0.246 0.448 0.500
13 Co 0.448 0.246 0.500
14 Co 0.552 0.754 0.500
15 Co 0.754 0.552 0.500
16 Cu 0.072 0.212 0.500
17 Cu 0.159 0.631 0.500
18 Cu 0.212 0.072 0.500
19 Cu 0.369 0.841 0.500
20 Cu 0.500 0.500 0.500
21 Cu 0.631 0.159 0.500
22 Cu 0.788 0.928 0.500
23 Cu 0.841 0.369 0.500
24 Cu 0.928 0.788 0.500

The calculated total energy is -6.52 eV per atom. The space-group type is Cmmm (65). The calculation puts the energy of formation at -0.183 eV per atom.


Compound: Li2YCrSe
Source: Alexandria
Functional: PBE-GGA
Structure: optimized geometry

Cell: 5.749 5.749 5.192 Å, 90.00 90.00 90.00°
Sites, in units of the cell vectors:
1 Li 0.000 0.500 0.000
2 Li 0.500 0.000 0.000
3 Y 0.000 0.000 0.000
4 Cr 0.500 0.500 0.500
5 Se 0.000 0.000 0.500

The uncorrected formation energy comes out at 6.19 eV/f.u. The calculated total energy is -3.44 eV per atom. The space-group type is P4/mmm (123).


Compound: ScSb3
Source: Alexandria
Functional: PBE-GGA
Structure: optimized geometry

Cell: 4.216 4.216 7.513 Å, 90.00 90.00 120.00°
Sites, in units of the cell vectors:
1 Sc 0.000 0.000 0.000
2 Sb 0.000 0.000 0.500
3 Sb 0.333 0.667 0.226
4 Sb 0.333 0.667 0.774

The uncorrected formation energy comes out at -0.70 eV/f.u. The calculated total energy is -4.85 eV per atom. The space-group type is P-6m2 (187).


Compound: TiCo22B6
Source: Alexandria
Functional: PBE-GGA
Structure: optimized geometry

Cell: 7.387 7.387 7.387 Å, 60.00 60.00 60.00°
Sites, in units of the cell vectors:
1 Ti 0.000 0.000 0.000
2 Co 0.000 0.000 0.341
3 Co 0.000 0.000 0.659
4 Co 0.000 0.341 0.000
5 Co 0.000 0.341 0.659
6 Co 0.000 0.659 0.000
7 Co 0.000 0.659 0.341
8 Co 0.142 0.619 0.619
9 Co 0.250 0.250 0.250
10 Co 0.341 0.000 0.000
11 Co 0.341 0.000 0.659
12 Co 0.341 0.659 0.000
13 Co 0.381 0.381 0.381
14 Co 0.381 0.381 0.858
15 Co 0.381 0.858 0.381
16 Co 0.619 0.142 0.619
17 Co 0.619 0.619 0.142
18 Co 0.619 0.619 0.619
19 Co 0.659 0.000 0.000
20 Co 0.659 0.000 0.341
21 Co 0.659 0.341 0.000
22 Co 0.750 0.750 0.750
23 Co 0.858 0.381 0.381
24 B 0.273 0.273 0.727
25 B 0.273 0.727 0.273
26 B 0.273 0.727 0.727
27 B 0.727 0.273 0.273
28 B 0.727 0.273 0.727
29 B 0.727 0.727 0.273

The calculated total energy is -7.23 eV per atom. The space-group type is Fm-3m (225). The calculation puts the energy of formation at -0.188 eV per atom.